Record 1
A plane-wave DFT calculation with PBE-GGA was carried out for a relaxed AlCdIn2 crystal.

Calculated values
- space group = No. 12
- theoretical density (Mg/m³) = 6.505
- ΔH_f (0 K) (eV/f.u.) = 0.50
- crystal system = monoclinic

Unit cell a=7.2541 b=5.5026 c=3.2219 alpha=87.46 beta=67.87 gamma=123.29
Closest atoms and distances in Å follow each position.
Fractional coordinates of all 4 atoms:
Cd (0.5000, 0.5000, 0.0000)  8 In 3.13-3.25, 2 Cd 3.22, 2 Al 3.37
In (0.5000, 0.0000, 0.5000)  4 Cd 3.13-3.25, 4 Al 3.13-3.25, 4 In 3.22-3.37
In (0.0000, 0.0000, 0.0000)  4 Al 3.13-3.25, 4 Cd 3.13-3.25, 4 In 3.22-3.37
Al (0.0000, 0.5000, 0.5000)  8 In 3.13-3.25, 2 Al 3.22, 2 Cd 3.37

---

Record 2
A plane-wave DFT calculation with PBE-GGA was carried out for a relaxed Al4CdIn crystal.

Calculated values
- space group = No. 216
- theoretical density (Mg/m³) = 4.594
- ΔH_f (0 K) (eV/f.u.) = 0.95
- crystal system = cubic

Unit cell a=5.5540 b=5.5540 c=5.5540 alpha=60.00 beta=60.00 gamma=60.00
Closest atoms and distances in Å follow each position.
Fractional coordinates of all 6 atoms:
Al (0.3751, 0.8747, 0.3751)  6 Al 2.77-2.78
Al (0.8747, 0.3751, 0.3751)  6 Al 2.77-2.78
Al (0.3751, 0.3751, 0.8747)  6 Al 2.77-2.78
Al (0.3751, 0.3751, 0.3751)  6 Al 2.77-2.78
In (0.0000, 0.0000, 0.0000)  12 Al 3.26, 4 Cd 3.40
Cd (0.7500, 0.7500, 0.7500)  12 Al 3.26, 4 In 3.40

---

Record 3
A plane-wave DFT calculation with PBE-GGA was carried out for a relaxed AlCdIn2 crystal.

Calculated values
- space group = No. 8
- theoretical density (Mg/m³) = 6.421
- ΔH_f (0 K) (eV/f.u.) = 0.49
- crystal system = monoclinic

Unit cell a=5.6787 b=5.6787 c=5.8967 alpha=75.17 beta=75.17 gamma=31.37
Closest atoms and distances in Å follow each position.
Fractional coordinates of all 4 atoms:
Cd (0.7681, 0.7681, 0.7752)  2 Al 3.01, 2 Cd 3.07, 7 In 3.12-3.36
In (0.2374, 0.2374, 0.2934)  4 In 3.07-3.44, 3 Al 3.07-3.15, 4 Cd 3.32-3.36
In (0.0080, 0.0080, 0.9661)  4 In 3.07-3.44, 3 Cd 3.12-3.16, 4 Al 3.27-3.39
Al (0.4865, 0.4865, 0.4653)  2 Cd 3.01, 2 Al 3.07, 5 In 3.07-3.27

---

Record 4
A plane-wave DFT calculation with PBE-GGA was carried out for a relaxed Al2CdIn crystal.

Calculated values
- space group = No. 8
- theoretical density (Mg/m³) = 5.461
- ΔH_f (0 K) (eV/f.u.) = 0.63
- crystal system = monoclinic

Unit cell a=5.7084 b=5.7084 c=5.5970 alpha=71.59 beta=71.59 gamma=29.74
Closest atoms and distances in Å follow each position.
Fractional coordinates of all 4 atoms:
Al (0.7311, 0.7311, 0.7132)  4 Al 2.82-2.93, 2 Cd 3.01, 2 In 3.11
Al (0.0223, 0.0223, 0.0322)  4 Al 2.82-2.93, 3 In 3.07-3.12, 2 Cd 3.15
Cd (0.4827, 0.4827, 0.5499)  2 Cd 2.93, 7 Al 3.01-3.22
In (0.2639, 0.2639, 0.2047)  2 In 2.93, 7 Al 3.07-3.24

---

Record 5
A plane-wave DFT calculation with PBE-GGA was carried out for a relaxed Al2CdIn crystal.

Calculated values
- space group = No. 35
- theoretical density (Mg/m³) = 5.400
- ΔH_f (0 K) (eV/f.u.) = 0.69
- crystal system = orthorhombic

Unit cell a=3.0387 b=3.0387 c=10.9245 alpha=90.00 beta=90.00 gamma=121.01
Closest atoms and distances in Å follow each position.
Fractional coordinates of all 4 atoms:
Al (0.5000, 0.5000, 0.2374)  8 Al 2.81-3.04, 2 Cd 3.04
Al (0.0000, 0.0000, 0.0196)  8 Al 2.81-3.04
Cd (0.0000, 0.0000, 0.4800)  6 Cd 2.99-3.04, 2 Al 3.04
In (0.5000, 0.5000, 0.7629)  6 In 2.99-3.04, 2 Al 3.18

---

Record 6
A plane-wave DFT calculation with PBE-GGA was carried out for a relaxed AlCdIn2 crystal.

Calculated values
- space group = No. 99
- theoretical density (Mg/m³) = 6.503
- ΔH_f (0 K) (eV/f.u.) = 0.40
- crystal system = tetragonal

Unit cell a=3.1466 b=3.1466 c=9.5181 alpha=90.00 beta=90.00 gamma=90.00
Closest atoms and distances in Å follow each position.
Fractional coordinates of all 4 atoms:
In (0.5000, 0.5000, 0.2682)  8 In 3.15-3.47, 4 Al 3.23
In (0.0000, 0.0000, 0.9883)  8 In 3.15-3.47, 4 Cd 3.32
Al (0.0000, 0.0000, 0.5137)  4 Cd 3.03, 4 Al 3.15, 4 In 3.23
Cd (0.5000, 0.5000, 0.7298)  4 Al 3.03, 4 Cd 3.15, 4 In 3.32

---

Record 7
A plane-wave DFT calculation with PBE-GGA was carried out for a relaxed Al2CdIn crystal.

Calculated values
- space group = No. 123
- theoretical density (Mg/m³) = 5.391
- ΔH_f (0 K) (eV/f.u.) = 0.81
- crystal system = tetragonal

Unit cell a=5.3896 b=5.3896 c=2.9820 alpha=90.00 beta=90.00 gamma=90.00
Closest atoms and distances in Å follow each position.
Fractional coordinates of all 4 atoms:
Al (0.0000, 0.0000, 0.0000)  2 Al 2.98, 4 Cd 3.08, 4 In 3.08
Al (0.5000, 0.5000, 0.0000)  2 Al 2.98, 4 Cd 3.08, 4 In 3.08
Cd (0.5000, 0.0000, 0.5000)  2 Cd 2.98, 8 Al 3.08
In (0.0000, 0.5000, 0.5000)  2 In 2.98, 8 Al 3.08

---

Record 8
A plane-wave DFT calculation with PBE-GGA was carried out for a relaxed AlCdIn2 crystal.

Calculated values
- space group = No. 6
- theoretical density (Mg/m³) = 6.365
- ΔH_f (0 K) (eV/f.u.) = 0.52
- crystal system = monoclinic

Unit cell a=5.4909 b=3.1174 c=5.8142 alpha=75.33 beta=90.00 gamma=90.00
Closest atoms and distances in Å follow each position.
Fractional coordinates of all 4 atoms:
Cd (0.5000, 0.5340, 0.8143)  7 In 2.95-3.21, 2 Cd 3.12
Al (0.0000, 0.7226, 0.4342)  7 In 2.94-3.22, 2 Al 3.12
In (0.0000, 0.9893, 0.9124)  3 Al 2.94-3.12, 2 In 3.12, 4 Cd 3.20-3.21
In (0.5000, 0.2541, 0.3391)  3 Cd 2.95-3.10, 2 In 3.12, 4 Al 3.18-3.22

---

Record 9
A plane-wave DFT calculation with PBE-GGA was carried out for a relaxed Al2CdIn crystal.

Calculated values
- space group = No. 122
- theoretical density (Mg/m³) = 5.078
- ΔH_f (0 K) (eV/f.u.) = 1.15
- crystal system = tetragonal

Unit cell a=7.9273 b=7.9273 c=6.3233 alpha=51.18 beta=51.18 gamma=90.00
Closest atoms and distances in Å follow each position.
Fractional coordinates of all 8 atoms:
Cd (0.2500, 0.7500, 0.5000)  4 Al 2.86, 2 In 2.93
Cd (0.5000, 0.5000, 0.0000)  4 Al 2.86, 2 In 2.93
In (0.7500, 0.2500, 0.5000)  2 Cd 2.93, 4 Al 2.93
In (0.0000, 0.0000, 0.0000)  2 Cd 2.93, 4 Al 2.93
Al (0.1309, 0.6250, 0.2500)  2 Cd 2.86, 2 Al 2.93, 2 In 2.93
Al (0.6191, 0.1250, 0.2500)  2 Cd 2.86, 2 Al 2.93, 2 In 2.93
Al (0.8750, 0.8691, 0.7500)  2 Cd 2.86, 2 Al 2.93, 2 In 2.93
Al (0.3750, 0.3809, 0.7500)  2 Cd 2.86, 2 Al 2.93, 2 In 2.93

---

Record 10
A plane-wave DFT calculation with PBE-GGA was carried out for a relaxed Al2CdIn crystal.

Calculated values
- space group = No. 119
- theoretical density (Mg/m³) = 5.541
- ΔH_f (0 K) (eV/f.u.) = 0.74
- crystal system = tetragonal

Unit cell a=5.5902 b=5.5902 c=5.5902 alpha=135.62 beta=135.62 gamma=64.57
Closest atoms and distances in Å follow each position.
Fractional coordinates of all 4 atoms:
Al (0.0000, 0.0000, 0.0000)  4 Cd 2.99, 4 Al 3.17, 4 In 3.17
Al (0.2500, 0.7500, 0.5000)  4 In 2.99, 4 Cd 3.17, 4 Al 3.17
In (0.7500, 0.2500, 0.5000)  8 Al 2.99-3.17, 4 Cd 3.17
Cd (0.5000, 0.5000, 0.0000)  8 Al 2.99-3.17, 4 In 3.17